Entry 1:
CaCoRu | GGA-PBE | optimized geometry

Summary:
Polymorph energy (0 for the lowest one)   1302.9 meV per atom

a = 6.2405 Å, b = 6.2405 Å, c = 6.2405 Å
α = 90.00°, β = 90.00°, γ = 90.00°
Closest atoms and distances in Å follow each position.
Space group F-43m (No. 216)
Symmetry-distinct sites (fractional):
Ca 0.0000 0.0000 0.0000 x4  4 Ru 2.70, 4 Co 2.70
Co 0.2500 0.2500 0.2500 x4  4 Ca 2.70
Ru 0.2500 0.2500 0.7500 x4  4 Ca 2.70

---

Entry 2:
Ca2CoRu2 | GGA-PBE | optimized geometry

a = 6.3800 Å, b = 6.3800 Å, c = 4.7319 Å
α = 90.00°, β = 90.00°, γ = 90.00°
Closest atoms and distances in Å follow each position.
Space group P4/mbm (No. 127)
Symmetry-distinct sites (fractional):
Ca 0.1799 0.3201 0.0000 x4  6 Ru 2.92-3.10, 1 Ca 3.25
Co 0.0000 0.0000 0.5000 x2  4 Ru 2.50
Ru 0.1307 0.6307 0.5000 x4  1 Ru 2.36, 2 Co 2.50

---

Entry 3:
CaCoRu | GGA-PBE | optimized geometry

Summary:
Polymorph energy (0 for the lowest one)   499.6 meV per atom

a = 2.9663 Å, b = 2.9663 Å, c = 6.7085 Å
α = 90.00°, β = 90.00°, γ = 120.00°
Closest atoms and distances in Å follow each position.
Space group P3m1 (No. 156)
Symmetry-distinct sites (fractional):
Ca 0.0000 0.0000 0.0000 x1  6 Ca 2.97, 3 Ru 2.98, 3 Co 2.99
Co 0.6667 0.3333 0.3656 x1  3 Ru 2.50
Ru 0.3333 0.6667 0.6372 x1  3 Co 2.50

---

Entry 4:
CaCoRu2 | GGA-PBE | optimized geometry

Summary:
Polymorph energy (0 for the lowest one)   27.3 meV per atom

a = 2.8197 Å, b = 4.1877 Å, c = 5.7060 Å
α = 90.00°, β = 104.22°, γ = 90.00°
Closest atoms and distances in Å follow each position.
Space group Pm (No. 6)
Symmetry-distinct sites (fractional):
Ca 0.0000 0.0000 0.0000 x1  2 Ca 2.82, 3 Ru 2.83-3.04, 4 Co 2.92
Co 0.6319 0.5000 0.2647 x1  4 Ru 2.43-2.53
Ru 0.3208 0.5000 0.6448 x1  2 Co 2.53, 6 Ru 2.67-2.82
Ru 0.7422 0.0000 0.4877 x1  2 Co 2.43, 4 Ru 2.67

---

Entry 5:
CaCoRu2 | GGA-PBE | optimized geometry

Summary:
Polymorph energy (0 for the lowest one)   255.9 meV per atom

a = 6.3010 Å, b = 6.3010 Å, c = 6.3010 Å
α = 90.00°, β = 90.00°, γ = 90.00°
Closest atoms and distances in Å follow each position.
Space group Fm-3m (No. 225)
Symmetry-distinct sites (fractional):
Ca 0.0000 0.0000 0.0000 x4  8 Ru 2.73
Co 0.0000 0.0000 0.5000 x4  8 Ru 2.73
Ru 0.2500 0.2500 0.2500 x8  4 Co 2.73, 4 Ca 2.73

---

Entry 6:
CaCoRu | GGA-PBE | optimized geometry

Summary:
Polymorph energy (0 for the lowest one)   61.9 meV per atom

a = 3.9131 Å, b = 3.9131 Å, c = 4.5310 Å
α = 90.00°, β = 90.00°, γ = 120.00°
Closest atoms and distances in Å follow each position.
Space group P-6m2 (No. 187)
Symmetry-distinct sites (fractional):
Ca 0.0000 0.0000 0.0000 x1  6 Co 3.20, 6 Ru 3.20
Co 0.6667 0.3333 0.5000 x1  3 Ru 2.26
Ru 0.3333 0.6667 0.5000 x1  3 Co 2.26

---

Entry 7:
CaCo2Ru | GGA-PBE | optimized geometry

Summary:
Polymorph energy (0 for the lowest one)   211.4 meV per atom

a = 9.1661 Å, b = 2.9069 Å, c = 5.0187 Å
α = 90.00°, β = 106.54°, γ = 90.00°
Closest atoms and distances in Å follow each position.
Space group Cm (No. 8)
Symmetry-distinct sites (fractional):
Ca 0.0000 0.0000 0.0000 x2  7 Co 2.85-2.97, 2 Ca 2.91, 3 Ru 3.00-3.06
Co 0.2807 0.5000 0.3053 x2  2 Co 2.38, 2 Ru 2.45
Co 0.4894 0.0000 0.4973 x2  2 Co 2.38, 2 Ru 2.47
Ru 0.2159 0.0000 0.6486 x2  4 Co 2.45-2.47

---

Entry 8:
CaCo2Ru2 | GGA-PBE | optimized geometry

Summary:
Polymorph energy (0 for the lowest one)   33.6 meV per atom

a = 7.3917 Å, b = 7.3917 Å, c = 2.6714 Å
α = 90.00°, β = 90.00°, γ = 90.00°
Closest atoms and distances in Å follow each position.
Space group P4/mbm (No. 127)
Symmetry-distinct sites (fractional):
Ca 0.0000 0.0000 0.0000 x2  2 Ca 2.67, 4 Co 2.96
Co 0.1168 0.3832 0.0000 x4  3 Co 2.44-2.67, 6 Ru 2.56-2.57
Ru 0.1737 0.6737 0.5000 x4  6 Co 2.56-2.57, 2 Ru 2.67

---

Number 1: E_form 1.51 eV per atom. Number 2: E_form 0.27 eV per atom. Number 3: E_form 0.71 eV per atom. Number 4: E_form 0.37 eV per atom. Number 5: E_form 0.60 eV per atom. Number 6: E_form 0.27 eV per atom. Number 7: E_form 0.40 eV per atom. Number 8: E_form 0.27 eV per atom.